DFT (PBE-GGA) results for a geometry-optimized Pm3Ge2Cl structure.

Cell: 5.946 12.634 8.488 Å, 90.00 90.01 90.00°
Positions (direct):
1 Pm 0.249 0.091 0.140
2 Pm 0.249 0.409 0.640
3 Pm 0.250 0.085 0.622
4 Pm 0.250 0.415 0.122
5 Pm 0.251 0.747 0.617
6 Pm 0.251 0.753 0.117
7 Pm 0.749 0.247 0.883
8 Pm 0.749 0.253 0.383
9 Pm 0.750 0.585 0.878
10 Pm 0.750 0.915 0.378
11 Pm 0.751 0.591 0.360
12 Pm 0.751 0.909 0.860
13 Ge 0.249 0.245 0.878
14 Ge 0.249 0.255 0.378
15 Ge 0.250 0.584 0.869
16 Ge 0.250 0.916 0.369
17 Ge 0.750 0.084 0.631
18 Ge 0.750 0.416 0.131
19 Ge 0.751 0.745 0.622
20 Ge 0.751 0.755 0.122
21 Cl 0.251 0.585 0.373
22 Cl 0.251 0.915 0.873
23 Cl 0.749 0.085 0.127
24 Cl 0.749 0.415 0.627

raw formation energy = -6.8 eV/f.u.
offset from the most stable computed form = 22 meV per atom
space group = P2_1/c, No. 14

DFT (PBE-GGA) results for a geometry-optimized InCo2Os structure.

Cell: 4.333 4.333 4.333 Å, 60.00 60.00 60.00°
Positions (direct):
1 In 0.000 0.000 0.000
2 Co 0.250 0.250 0.250
3 Co 0.500 0.500 0.500
4 Os 0.750 0.750 0.750

E_form = 0.472 eV per atom
space group = F-43m, No. 216

DFT (PBE-GGA) results for a geometry-optimized Ba2TaSbO structure.

Cell: 6.049 6.049 4.041 Å, 90.00 90.00 90.00°
Positions (direct):
1 Ba 0.000 0.500 0.000
2 Ba 0.500 0.000 0.000
3 Ta 0.000 0.000 0.500
4 Sb 0.500 0.500 0.500
5 O 0.000 0.000 0.000

raw formation energy = -4.2 eV/f.u.
space group = P4/mmm, No. 123

DFT (PBE-GGA) results for a geometry-optimized Sc2Ti2Ni15 structure.

Cell: 6.261 6.261 6.261 Å, 81.92 81.92 81.92°
Positions (direct):
1 Sc 0.150 0.150 0.150
2 Sc 0.850 0.850 0.850
3 Ti 0.397 0.397 0.397
4 Ti 0.603 0.603 0.603
5 Ni 0.000 0.500 0.500
6 Ni 0.154 0.154 0.660
7 Ni 0.154 0.660 0.154
8 Ni 0.194 0.500 0.806
9 Ni 0.194 0.806 0.500
10 Ni 0.340 0.846 0.846
11 Ni 0.500 0.000 0.500
12 Ni 0.500 0.194 0.806
13 Ni 0.500 0.500 0.000
14 Ni 0.500 0.806 0.194
15 Ni 0.660 0.154 0.154
16 Ni 0.806 0.194 0.500
17 Ni 0.806 0.500 0.194
18 Ni 0.846 0.340 0.846
19 Ni 0.846 0.846 0.340

E_form = -0.282 eV per atom
space group = R-3m, No. 166

DFT (PBE-GGA) results for a geometry-optimized TlHg3Se structure.

Cell: 5.776 5.776 5.776 Å, 90.00 90.00 90.00°
Positions (direct):
1 Tl 0.000 0.000 0.000
2 Hg 0.000 0.000 0.500
3 Hg 0.000 0.500 0.000
4 Hg 0.500 0.000 0.000
5 Se 0.500 0.500 0.500

raw formation energy = 2.0 eV/f.u.
offset from the most stable computed form = 199 meV per atom
space group = Pm-3m, No. 221

DFT (PBE-GGA) results for a geometry-optimized NpTlPb2S4 structure.

Cell: 7.374 7.374 7.374 Å, 132.40 132.40 69.60°
Positions (direct):
1 Np 0.000 0.000 0.000
2 Tl 0.750 0.250 0.500
3 Pb 0.250 0.750 0.500
4 Pb 0.500 0.500 0.000
5 S 0.008 0.508 0.500
6 S 0.225 0.225 0.000
7 S 0.492 0.992 0.500
8 S 0.775 0.775 0.000

raw formation energy = -5.2 eV/f.u.
space group = I-4m2, No. 119

DFT (PBE-GGA) results for a geometry-optimized Pu2Ga7Pd structure.

Cell: 4.213 4.213 10.839 Å, 90.00 90.00 90.00°
Positions (direct):
1 Pu 0.000 0.500 0.248
2 Pu 0.500 0.000 0.752
3 Ga 0.000 0.000 0.000
4 Ga 0.000 0.500 0.633
5 Ga 0.000 0.500 0.859
6 Ga 0.500 0.000 0.141
7 Ga 0.500 0.000 0.367
8 Ga 0.500 0.500 0.000
9 Ga 0.500 0.500 0.500
10 Pd 0.000 0.000 0.500

E_form = -0.373 eV per atom
space group = P-4m2, No. 115

DFT (PBE-GGA) results for a geometry-optimized CaSbW2 structure.

Cell: 9.711 9.711 9.711 Å, 18.59 18.59 18.59°
Positions (direct):
1 Ca 0.000 0.000 0.000
2 Sb 0.500 0.500 0.500
3 W 0.241 0.241 0.241
4 W 0.759 0.759 0.759

raw formation energy = 3.8 eV/f.u.
space group = R-3m, No. 166